# La2MgHg (PBE, relaxed)
data_La2MgHg
_space_group_name_H-M_alt 'I 4/m m m'
_space_group_IT_number 139
_space_group_name_Hall '-I 4 2'
_cell_length_a 3.897
_cell_length_b 3.897
_cell_length_c 17.789
_cell_angle_alpha 90.00
_cell_angle_beta 90.00
_cell_angle_gamma 90.00
loop_
_atom_site_label
_atom_site_type_symbol
_atom_site_fract_x
_atom_site_fract_y
_atom_site_fract_z
La1 La 0.000 0.000 0.179
Mg1 Mg 0.000 0.000 0.500
Hg1 Hg 0.000 0.000 0.000
# Theoretical density (g/cm³): 6.2
# DFT total energy (eV/cell): -23.31
# Formation energy from the elements (eV/atom): 0.02

# SrH5 (PBE, relaxed)
data_SrH5
_space_group_name_H-M_alt 'C m m m'
_space_group_IT_number 65
_space_group_name_Hall '-C 2 2'
_cell_length_a 3.994
_cell_length_b 9.722
_cell_length_c 2.805
_cell_angle_alpha 90.00
_cell_angle_beta 90.00
_cell_angle_gamma 90.00
loop_
_atom_site_label
_atom_site_type_symbol
_atom_site_fract_x
_atom_site_fract_y
_atom_site_fract_z
Sr1 Sr 0.000 0.000 0.000
H1 H 0.000 0.222 0.500
H2 H 0.000 0.236 0.000
H3 H 0.000 0.500 0.500
# Theoretical density (g/cm³): 2.8
# DFT total energy (eV/cell): -32.32

# BaHf2FeCu (PBE, relaxed)
data_BaHf2FeCu
_space_group_name_H-M_alt 'P 4/m m m'
_space_group_IT_number 123
_space_group_name_Hall '-P 4 2'
_cell_length_a 4.781
_cell_length_b 4.781
_cell_length_c 5.141
_cell_angle_alpha 90.00
_cell_angle_beta 90.00
_cell_angle_gamma 90.00
loop_
_atom_site_label
_atom_site_type_symbol
_atom_site_fract_x
_atom_site_fract_y
_atom_site_fract_z
Ba1 Ba 0.000 0.000 0.000
Hf1 Hf 0.000 0.500 0.500
Fe1 Fe 0.500 0.500 0.500
Cu1 Cu 0.500 0.500 0.000
# Theoretical density (g/cm³): 8.7
# DFT total energy (eV/cell): -32.34
# Formation energy from the elements (eV/atom): 0.41

# Sr2TaCl (PBE, relaxed)
data_Sr2TaCl
_space_group_name_H-M_alt 'C 1 m 1'
_space_group_IT_number 8
_space_group_name_Hall 'C -2y'
_cell_length_a 12.585
_cell_length_b 3.453
_cell_length_c 5.688
_cell_angle_alpha 90.00
_cell_angle_beta 90.02
_cell_angle_gamma 90.00
loop_
_atom_site_label
_atom_site_type_symbol
_atom_site_fract_x
_atom_site_fract_y
_atom_site_fract_z
Sr1 Sr 0.000 0.000 0.000
Sr2 Sr 0.235 0.500 0.491
Ta1 Ta 0.474 0.000 0.501
Cl1 Cl 0.245 0.000 0.009
# Theoretical density (g/cm³): 5.3
# DFT total energy (eV/cell): -32.97
# Formation energy from raw total energies (eV/atom): 0.145